--- A ---
An optimized crystal structure of Zr4Hg2N, computed with PBE.

Calculated density = 9.0 g/cm³
M_tot = 0.0 μB per cell

a = 3.3317 Å, b = 7.7703 Å, c = 11.1433 Å
α = 90.00°, β = 90.00°, γ = 90.00°
Sites, in units of the cell vectors:
Hg (0.5000, 0.5546, 0.3642)
N (0.0000, 0.0000, 0.5000)
Zr (0.5000, 0.8267, 0.5639)
Zr (0.5000, 0.1733, 0.4361)
Zr (0.0000, 0.3705, 0.1826)
N (0.0000, 0.5000, 0.0000)
Hg (0.5000, 0.0546, 0.1358)
Hg (0.5000, 0.4454, 0.6358)
Zr (0.0000, 0.6295, 0.8174)
Hg (0.5000, 0.9454, 0.8642)
Zr (0.5000, 0.6733, 0.0639)
Zr (0.0000, 0.1295, 0.6826)
Zr (0.0000, 0.8705, 0.3174)
Zr (0.5000, 0.3267, 0.9361)

=====

--- B ---
An optimized crystal structure of Zr4Hg2N, computed with PBE.

Calculated density = 9.0 g/cm³
M_tot = 0.0 μB per cell

a = 4.4341 Å, b = 4.4341 Å, c = 7.9915 Å
α = 73.89°, β = 73.89°, γ = 90.00°
Sites, in units of the cell vectors:
Zr (0.1606, 0.1606, 0.6787)
Hg (0.6411, 0.6411, 0.7179)
N (0.0000, 0.0000, 0.0000)
Zr (0.0000, 0.5000, 0.0000)
Zr (0.8394, 0.8394, 0.3213)
Hg (0.3589, 0.3589, 0.2821)
Zr (0.5000, 0.0000, 0.0000)

=====

What should be chosen as the most stable of them? Choose A.

=====

--- A ---
An optimized crystal structure of Zr4HgN2, computed with PBE.

Calculated density = 8.2 g/cm³
M_tot = 0.0 μB per cell

a = 3.3271 Å, b = 3.3271 Å, c = 12.7045 Å
α = 82.48°, β = 82.48°, γ = 60.00°
Sites, in units of the cell vectors:
Zr (0.8695, 0.8695, 0.3915)
Zr (0.7314, 0.7314, 0.8058)
Hg (0.0000, 0.0000, 0.0000)
N (0.4302, 0.4302, 0.7094)
Zr (0.1305, 0.1305, 0.6085)
N (0.5698, 0.5698, 0.2906)
Zr (0.2686, 0.2686, 0.1942)

=====

--- B ---
An optimized crystal structure of Zr4HgN2, computed with PBE.

Calculated density = 8.4 g/cm³
M_tot = 0.0 μB per cell

a = 3.4073 Å, b = 5.9868 Å, c = 11.9644 Å
α = 90.00°, β = 90.00°, γ = 106.53°
Sites, in units of the cell vectors:
Zr (0.2442, 0.4884, 0.8994)
N (0.8679, 0.7358, 0.5608)
N (0.1321, 0.2642, 0.4392)
Zr (0.2442, 0.4884, 0.6006)
Hg (0.3876, 0.7752, 0.2500)
Zr (0.5000, 0.0000, 0.5000)
Zr (0.9129, 0.8257, 0.7500)
N (0.8679, 0.7358, 0.9392)
Zr (0.0871, 0.1743, 0.2500)
Hg (0.6124, 0.2248, 0.7500)
Zr (0.5000, 0.0000, 0.0000)
Zr (0.7558, 0.5116, 0.3994)
Zr (0.7558, 0.5116, 0.1006)
N (0.1321, 0.2642, 0.0608)

=====

What should be chosen as the most stable of them? Choose A.

=====

--- A ---
An optimized crystal structure of Na6Hg, computed with PBE.

Calculated density = 2.5 g/cm³
M_tot = 0.0 μB per cell

a = 5.6206 Å, b = 5.6206 Å, c = 8.7991 Å
α = 71.37°, β = 71.37°, γ = 60.00°
Sites, in units of the cell vectors:
Na (0.1351, 0.1351, 0.5946)
Na (0.2907, 0.2907, 0.1280)
Na (0.5737, 0.5737, 0.2788)
Na (0.8649, 0.8649, 0.4054)
Hg (0.0000, 0.0000, 0.0000)
Na (0.7093, 0.7093, 0.8720)
Na (0.4263, 0.4263, 0.7212)

=====

--- B ---
An optimized crystal structure of Na6Hg, computed with PBE.

Calculated density = 1.4 g/cm³
M_tot = 0.0 μB per cell

a = 7.9581 Å, b = 7.9581 Å, c = 7.9581 Å
α = 109.47°, β = 109.47°, γ = 109.47°
Sites, in units of the cell vectors:
Na (0.7500, 0.2500, 0.5000)
Na (0.2500, 0.7500, 0.5000)
Na (0.2500, 0.5000, 0.7500)
Na (0.7500, 0.5000, 0.2500)
Na (0.5000, 0.7500, 0.2500)
Na (0.5000, 0.2500, 0.7500)
Hg (0.0000, 0.0000, 0.0000)

=====

What should be chosen as the most stable of them? Choose A.

=====

--- A ---
An optimized crystal structure of Na8Hg3, computed with PBE.

Calculated density = 4.0 g/cm³
M_tot = 0.0 μB per cell

a = 9.2573 Å, b = 9.2573 Å, c = 18.2631 Å
α = 75.32°, β = 75.32°, γ = 60.00°
Sites, in units of the cell vectors:
Hg (0.0000, 0.0000, 0.0000)
Na (0.3589, 0.6213, 0.1565)
Na (0.8787, 0.1411, 0.3435)
Na (0.0143, 0.6401, 0.0543)
Na (0.2199, 0.2199, 0.3402)
Na (0.9857, 0.3599, 0.9457)
Na (0.5618, 0.5618, 0.3147)
Hg (0.1581, 0.1581, 0.5256)
Na (0.2087, 0.8599, 0.4457)
Na (0.7087, 0.9857, 0.9457)
Na (0.7913, 0.1401, 0.5543)
Na (0.8599, 0.4857, 0.4457)
Na (0.3599, 0.7087, 0.9457)
Hg (0.9342, 0.5658, 0.2500)
Na (0.6411, 0.3787, 0.8435)
Na (0.7199, 0.7199, 0.8402)
Na (0.1213, 0.8589, 0.6565)
Hg (0.5000, 0.5000, 0.5000)
Na (0.6213, 0.8633, 0.1565)
Na (0.2801, 0.2801, 0.1598)
Hg (0.6581, 0.6581, 0.0256)
Na (0.6401, 0.2913, 0.0543)
Na (0.4382, 0.4382, 0.6853)
Na (0.0618, 0.0618, 0.8147)
Na (0.1401, 0.5143, 0.5543)
Na (0.8589, 0.3633, 0.6565)
Na (0.8633, 0.3589, 0.1565)
Na (0.6367, 0.8787, 0.3435)
Hg (0.0658, 0.4342, 0.7500)
Hg (0.2500, 0.9342, 0.2500)
Hg (0.8419, 0.8419, 0.4744)
Hg (0.7500, 0.0658, 0.7500)
Na (0.5143, 0.7913, 0.5543)
Na (0.3633, 0.1213, 0.6565)
Na (0.2913, 0.0143, 0.0543)
Na (0.3787, 0.1367, 0.8435)
Hg (0.3419, 0.3419, 0.9744)
Hg (0.5658, 0.2500, 0.2500)
Hg (0.4342, 0.7500, 0.7500)
Na (0.1367, 0.6411, 0.8435)
Na (0.1411, 0.6367, 0.3435)
Na (0.9382, 0.9382, 0.1853)
Na (0.7801, 0.7801, 0.6598)
Na (0.4857, 0.2087, 0.4457)

=====

--- B ---
An optimized crystal structure of Na8Hg3, computed with PBE.

Calculated density = 3.5 g/cm³
M_tot = 0.0 μB per cell

a = 7.2263 Å, b = 7.2263 Å, c = 7.2263 Å
α = 87.72°, β = 87.72°, γ = 87.72°
Sites, in units of the cell vectors:
Hg (0.5000, 0.0000, 0.5000)
Na (0.6262, 0.6262, 0.6262)
Na (0.6827, 0.8472, 0.1305)
Na (0.8472, 0.1305, 0.6827)
Na (0.8695, 0.3173, 0.1528)
Hg (0.0000, 0.5000, 0.5000)
Na (0.1305, 0.6827, 0.8472)
Hg (0.5000, 0.5000, 0.0000)
Na (0.3738, 0.3738, 0.3738)
Na (0.3173, 0.1528, 0.8695)
Na (0.1528, 0.8695, 0.3173)

=====

What should be chosen as the most stable of them? Choose A.

=====

--- A ---
An optimized crystal structure of Na2Hg5, computed with PBE.

Calculated density = 9.7 g/cm³
M_tot = 0.0 μB per cell

a = 4.7348 Å, b = 5.5589 Å, c = 7.5965 Å
α = 97.69°, β = 90.00°, γ = 115.21°
Sites, in units of the cell vectors:
Na (0.9214, 0.8428, 0.7711)
Hg (0.3601, 0.7201, 0.0690)
Na (0.0786, 0.1572, 0.2289)
Hg (0.7876, 0.5752, 0.3490)
Hg (0.5000, 0.0000, 0.5000)
Hg (0.6399, 0.2799, 0.9310)
Hg (0.2124, 0.4248, 0.6510)

=====

--- B ---
An optimized crystal structure of Na2Hg5, computed with PBE.

Calculated density = 9.6 g/cm³
M_tot = 0.0 μB per cell

a = 5.5022 Å, b = 8.7526 Å, c = 8.0349 Å
α = 95.00°, β = 110.02°, γ = 90.00°
Sites, in units of the cell vectors:
Hg (0.7788, 0.2500, 0.0000)
Hg (0.6403, 0.5462, 0.7286)
Hg (0.3597, 0.4538, 0.2714)
Hg (0.0627, 0.6878, 0.5832)
Na (0.6397, 0.8979, 0.8364)
Na (0.8033, 0.6021, 0.1636)
Hg (0.2212, 0.7500, 0.0000)
Hg (0.0883, 0.0462, 0.7286)
Hg (0.5206, 0.1878, 0.5832)
Na (0.1967, 0.3979, 0.8364)
Hg (0.4794, 0.8122, 0.4168)
Hg (0.9117, 0.9538, 0.2714)
Na (0.3603, 0.1021, 0.1636)
Hg (0.9373, 0.3122, 0.4168)

=====

What should be chosen as the most stable of them? Choose A.

=====

--- A ---
An optimized crystal structure of Na3Hg7, computed with PBE.

Calculated density = 9.6 g/cm³
M_tot = 0.0 μB per cell

a = 4.7327 Å, b = 6.6319 Å, c = 9.6561 Å
α = 118.40°, β = 104.19°, γ = 90.00°
Sites, in units of the cell vectors:
Hg (0.6045, 0.8879, 0.2090)
Hg (0.4018, 0.6170, 0.8035)
Hg (0.1986, 0.2794, 0.3971)
Na (0.0000, 0.0000, 0.0000)
Hg (0.0000, 0.5000, 0.0000)
Hg (0.8014, 0.7206, 0.6029)
Na (0.8048, 0.2339, 0.6096)
Na (0.1952, 0.7661, 0.3904)
Hg (0.5982, 0.3830, 0.1965)
Hg (0.3955, 0.1121, 0.7910)

=====

--- B ---
An optimized crystal structure of Na3Hg7, computed with PBE.

Calculated density = 8.9 g/cm³
M_tot = 0.0 μB per cell

a = 5.6130 Å, b = 10.6221 Å, c = 10.6221 Å
α = 120.00°, β = 90.00°, γ = 90.00°
Sites, in units of the cell vectors:
Na (0.8637, 0.2006, 0.4013)
Na (0.3637, 0.7994, 0.5987)
Hg (0.5391, 0.3333, 0.6667)
Hg (0.7410, 0.5331, 0.4669)
Hg (0.7410, 0.9338, 0.4669)
Hg (0.0391, 0.6667, 0.3333)
Hg (0.3517, 0.1050, 0.2100)
Hg (0.8517, 0.8950, 0.1050)
Na (0.8637, 0.2006, 0.7994)
Hg (0.2410, 0.0662, 0.5331)
Na (0.3637, 0.7994, 0.2006)
Hg (0.8517, 0.8950, 0.7900)
Na (0.8637, 0.5987, 0.7994)
Hg (0.3517, 0.7900, 0.8950)
Hg (0.7410, 0.5331, 0.0662)
Hg (0.3517, 0.1050, 0.8950)
Hg (0.2410, 0.4669, 0.5331)
Na (0.3637, 0.4013, 0.2006)
Hg (0.8517, 0.2100, 0.1050)
Hg (0.2410, 0.4669, 0.9338)

=====

What should be chosen as the most stable of them? Choose A.

=====

--- A ---
An optimized crystal structure of Na3Hg13, computed with PBE.

Calculated density = 10.6 g/cm³
M_tot = 0.0 μB per cell

a = 6.6776 Å, b = 6.6776 Å, c = 10.6324 Å
α = 90.00°, β = 90.00°, γ = 118.16°
Sites, in units of the cell vectors:
Hg (0.4794, 0.0161, 0.2476)
Hg (0.4794, 0.0161, 0.7524)
Hg (0.7525, 0.2475, 0.5000)
Hg (0.8172, 0.6928, 0.0000)
Na (0.9800, 0.0200, 0.2529)
Hg (0.7007, 0.7469, 0.5000)
Na (0.9800, 0.0200, 0.7471)
Hg (0.1976, 0.8024, 0.5000)
Hg (0.9839, 0.5206, 0.7524)
Hg (0.9839, 0.5206, 0.2476)
Hg (0.8118, 0.1882, 0.0000)
Hg (0.3072, 0.1828, 0.0000)
Hg (0.4815, 0.5185, 0.2392)
Na (0.3103, 0.6897, 0.0000)
Hg (0.4815, 0.5185, 0.7608)
Hg (0.2531, 0.2993, 0.5000)

=====

--- B ---
An optimized crystal structure of Na3Hg13, computed with PBE.

Calculated density = 10.5 g/cm³
M_tot = 0.0 μB per cell

a = 6.7826 Å, b = 6.7826 Å, c = 9.2419 Å
α = 90.00°, β = 90.00°, γ = 92.42°
Sites, in units of the cell vectors:
Hg (0.4821, 0.5179, 0.2518)
Hg (0.5130, 0.0199, 0.2486)
Hg (0.2524, 0.7476, 0.0000)
Na (0.0191, 0.9809, 0.7400)
Hg (0.2665, 0.2403, 0.5000)
Hg (0.2580, 0.7420, 0.5000)
Hg (0.7597, 0.7335, 0.5000)
Hg (0.4821, 0.5179, 0.7482)
Na (0.0191, 0.9809, 0.2600)
Hg (0.9801, 0.4870, 0.2486)
Hg (0.7630, 0.7824, 0.0000)
Hg (0.7795, 0.2205, 0.5000)
Hg (0.5130, 0.0199, 0.7514)
Hg (0.2176, 0.2370, 0.0000)
Na (0.7147, 0.2853, 0.0000)
Hg (0.9801, 0.4870, 0.7514)

=====

What should be chosen as the most stable of them? Choose A.

=====

--- A ---
An optimized crystal structure of Na7Hg3, computed with PBE.

Calculated density = 4.2 g/cm³
M_tot = 0.0 μB per cell

a = 6.3328 Å, b = 10.5456 Å, c = 10.5456 Å
α = 120.00°, β = 90.00°, γ = 90.00°
Sites, in units of the cell vectors:
Na (0.8960, 0.2448, 0.1224)
Hg (0.3698, 0.3955, 0.1978)
Na (0.5758, 0.3333, 0.6667)
Na (0.1783, 0.4692, 0.5308)
Na (0.3960, 0.7552, 0.8776)
Na (0.8960, 0.8776, 0.7552)
Na (0.3960, 0.1224, 0.2448)
Na (0.3960, 0.1224, 0.8776)
Hg (0.8698, 0.6045, 0.8022)
Na (0.6783, 0.9384, 0.4692)
Na (0.6783, 0.5308, 0.4692)
Na (0.0758, 0.6667, 0.3333)
Hg (0.3698, 0.8022, 0.1978)
Hg (0.8698, 0.1978, 0.3955)
Na (0.1783, 0.0616, 0.5308)
Na (0.6783, 0.5308, 0.0617)
Na (0.1783, 0.4692, 0.9383)
Hg (0.8698, 0.1978, 0.8022)
Na (0.8960, 0.8776, 0.1224)
Hg (0.3698, 0.8022, 0.6045)

=====

--- B ---
An optimized crystal structure of Na7Hg3, computed with PBE.

Calculated density = 4.4 g/cm³
M_tot = 0.0 μB per cell

a = 5.2082 Å, b = 6.7948 Å, c = 9.6221 Å
α = 117.25°, β = 105.70°, γ = 90.00°
Sites, in units of the cell vectors:
Na (0.6239, 0.8667, 0.2478)
Na (0.0000, 0.5000, 0.0000)
Na (0.3761, 0.1333, 0.7522)
Hg (0.0000, 0.0000, 0.0000)
Hg (0.1900, 0.7025, 0.3799)
Na (0.2017, 0.2378, 0.4033)
Na (0.7983, 0.7622, 0.5967)
Na (0.5921, 0.3238, 0.1841)
Na (0.4079, 0.6762, 0.8159)
Hg (0.8100, 0.2975, 0.6201)

=====

What should be chosen as the most stable of them? Choose B.

=====

--- A ---
An optimized crystal structure of Na3NbHg, computed with PBE.

Calculated density = 3.5 g/cm³
M_tot = 4.4 μB per cell

a = 5.5759 Å, b = 5.5759 Å, c = 5.5759 Å
α = 90.00°, β = 90.00°, γ = 90.00°
Each line ends with the local moment (μB).
Sites, in units of the cell vectors:
Na (0.5000, 0.0000, 0.0000)  -0.01
Na (0.0000, 0.5000, 0.0000)  0.00
Na (0.0000, 0.0000, 0.5000)  0.01
Nb (0.5000, 0.5000, 0.5000)  3.04
Hg (0.0000, 0.0000, 0.0000)  -0.01

=====

--- B ---
An optimized crystal structure of Na3NbHg, computed with PBE.

Calculated density = 2.7 g/cm³
M_tot = 5.8 μB per cell

a = 6.0907 Å, b = 6.0907 Å, c = 6.0907 Å
α = 90.00°, β = 90.00°, γ = 90.00°
Each line ends with the local moment (μB).
Sites, in units of the cell vectors:
Nb (0.0000, 0.0000, 0.0000)  3.29
Na (0.0000, 0.0000, 0.5000)  0.03
Na (0.0000, 0.5000, 0.0000)  0.05
Na (0.5000, 0.0000, 0.0000)  0.08
Hg (0.5000, 0.5000, 0.5000)  0.04

=====

What should be chosen as the most stable of them? Choose A.

=====

--- A ---
An optimized crystal structure of NaNb3Hg, computed with PBE.

Calculated density = 8.0 g/cm³
M_tot = 0.0 μB per cell

a = 4.7054 Å, b = 4.7054 Å, c = 4.7054 Å
α = 90.00°, β = 90.00°, γ = 90.00°
Sites, in units of the cell vectors:
Nb (0.5000, 0.0000, 0.0000)
Hg (0.5000, 0.5000, 0.5000)
Na (0.0000, 0.0000, 0.0000)
Nb (0.0000, 0.5000, 0.0000)
Nb (0.0000, 0.0000, 0.5000)

=====

--- B ---
An optimized crystal structure of NaNb3Hg, computed with PBE.

Calculated density = 6.0 g/cm³
M_tot = 2.0 μB per cell

a = 5.1714 Å, b = 5.1714 Å, c = 5.1714 Å
α = 90.00°, β = 90.00°, γ = 90.00°
Each line ends with the local moment (μB).
Sites, in units of the cell vectors:
Nb (0.0000, 0.0000, 0.5000)  0.57
Nb (0.5000, 0.0000, 0.0000)  0.38
Hg (0.0000, 0.0000, 0.0000)  0.07
Na (0.5000, 0.5000, 0.5000)  0.00
Nb (0.0000, 0.5000, 0.0000)  0.51

=====

What should be chosen as the most stable of them? Choose B.